[1]
VASP calculation (GGA-PBE) on a geometry-optimized LiAl2Zn2 structure.

energy above the most stable polymorph in this dataset: 0.000 eV per atom
N(E_F): 2.8 states/eV per cell

Lattice parameters (Å, degrees): 4.9742 5.3004 7.3166 70.32 70.26 62.88
With the nearest neighbours (Å) after each atom.
Space group P-1 (No. 2)
Symmetry-distinct sites (fractional):
Li (0.1490, 0.2472, 0.2489) [2 per cell]  6 Zn 2.74-2.79, 6 Al 2.84-2.95
Al (0.2467, 0.7538, 0.9553) [2 per cell]  6 Zn 2.72-2.93, 3 Al 2.74-2.81, 3 Li 2.85-2.94
Al (0.4503, 0.7486, 0.5478) [2 per cell]  6 Zn 2.72-2.92, 3 Al 2.74-2.81, 3 Li 2.84-2.95
Zn (0.0211, 0.7544, 0.3537) [2 per cell]  6 Al 2.72-2.93, 3 Li 2.74-2.78, 3 Zn 2.84-2.88
Zn (0.3672, 0.2596, 0.8493) [2 per cell]  6 Al 2.72-2.92, 3 Li 2.74-2.79, 3 Zn 2.84-2.96

---

[2]
VASP calculation (GGA-PBE) on a geometry-optimized Li2AlZn structure.

uncorrected energy: -0.08628 Ha/atom
N(E_F): 2.6 states/eV per cell

Lattice parameters (Å, degrees): 3.3748 4.2182 8.7482 90.00 90.00 90.00
With the nearest neighbours (Å) after each atom.
Space group Immm (No. 71)
Symmetry-distinct sites (fractional):
Li (0.0000, 0.0000, 0.2437) [4 per cell]  4 Li 2.70, 2 Zn 2.72, 4 Al 2.81-3.00
Al (0.0000, 0.5000, 0.0000) [2 per cell]  4 Zn 2.70, 8 Li 2.81-3.00
Zn (0.0000, 0.5000, 0.5000) [2 per cell]  4 Al 2.70, 4 Li 2.72

---

[3]
VASP calculation (GGA-PBE) on a geometry-optimized LiAl7Zn4 structure.

uncorrected energy: -0.09972 Ha/atom
N(E_F): 3.2 states/eV per cell

Lattice parameters (Å, degrees): 4.5319 4.5319 11.1233 90.00 90.00 120.00
With the nearest neighbours (Å) after each atom.
Space group P-3m1 (No. 164)
Symmetry-distinct sites (fractional):
Li (0.0000, 0.0000, 0.0000) [1 per cell]  8 Al 2.78-2.97, 6 Zn 2.95
Al (0.0000, 0.0000, 0.2495) [2 per cell]  1 Li 2.78, 7 Al 2.79-3.01, 6 Zn 2.95-2.97
Al (0.0000, 0.0000, 0.5000) [1 per cell]  8 Al 2.79-2.92, 6 Zn 2.98
Al (0.3333, 0.6667, 0.6160) [2 per cell]  4 Zn 2.62-2.71, 4 Al 2.87-2.92
Al (0.3333, 0.6667, 0.8738) [2 per cell]  4 Zn 2.62-2.78, 1 Al 2.87
Zn (0.3333, 0.6667, 0.1233) [2 per cell]  4 Al 2.62-2.78, 1 Zn 2.77
Zn (0.3333, 0.6667, 0.3723) [2 per cell]  4 Al 2.62-2.71, 1 Zn 2.77

---

[4]
VASP calculation (GGA-PBE) on a geometry-optimized LiAl2Zn structure.

uncorrected energy: -0.10247 Ha/atom
N(E_F): 1.0 states/eV per cell

Lattice parameters (Å, degrees): 3.9556 3.9556 4.0078 90.00 90.00 90.00
With the nearest neighbours (Å) after each atom.
Space group P4/mmm (No. 123)
Symmetry-distinct sites (fractional):
Li (0.0000, 0.0000, 0.0000) [1 per cell]  4 Zn 2.80, 8 Al 2.82
Al (0.0000, 0.5000, 0.5000) [2 per cell]  4 Al 2.80, 4 Zn 2.82, 4 Li 2.82
Zn (0.5000, 0.5000, 0.0000) [1 per cell]  4 Li 2.80, 8 Al 2.82

---

[5]
VASP calculation (GGA-PBE) on a geometry-optimized LiAlZn2 structure.

uncorrected energy: -0.07830 Ha/atom
N(E_F): 1.9 states/eV per cell

Lattice parameters (Å, degrees): 2.8262 2.8262 27.0654 90.00 90.00 120.00
With the nearest neighbours (Å) after each atom.
Space group R-3m (No. 166, hexagonal axes)
Symmetry-distinct sites (fractional):
Li (0.0000, 0.0000, 0.0000) [3 per cell]  6 Zn 2.76, 6 Li 2.83
Al (0.0000, 0.0000, 0.5000) [3 per cell]  6 Zn 2.81, 6 Al 2.83
Zn (0.0000, 0.0000, 0.2510) [6 per cell]  3 Li 2.76, 3 Al 2.81, 6 Zn 2.83

---

[6]
VASP calculation (GGA-PBE) on a geometry-optimized LiAlZn2 structure.

uncorrected energy: -0.07722 Ha/atom
N(E_F): 3.7 states/eV per cell

Lattice parameters (Å, degrees): 2.8618 2.8618 26.6323 90.00 90.00 120.00
With the nearest neighbours (Å) after each atom.
Space group R3m (No. 160, hexagonal axes)
Symmetry-distinct sites (fractional):
Li (0.0000, 0.0000, 0.0000) [3 per cell]  6 Zn 2.74-2.76, 6 Li 2.86
Al (0.0000, 0.0000, 0.1661) [3 per cell]  6 Zn 2.78-2.79, 6 Al 2.86
Zn (0.0000, 0.0000, 0.4153) [3 per cell]  3 Li 2.74, 3 Al 2.78, 6 Zn 2.86
Zn (0.0000, 0.0000, 0.5838) [3 per cell]  3 Li 2.76, 3 Al 2.79, 6 Zn 2.86

---

[7]
VASP calculation (GGA-PBE) on a geometry-optimized Li2Al3Zn structure.

uncorrected energy: -0.10288 Ha/atom
N(E_F): 7.6 states/eV per cell

Lattice parameters (Å, degrees): 7.4556 7.7190 7.3353 90.00 105.47 90.00
With the nearest neighbours (Å) after each atom.
Space group C2/c (No. 15)
Symmetry-distinct sites (fractional):
Li (0.1254, 0.2491, 0.1254) [8 per cell]  9 Al 2.92-3.05, 2 Li 2.94, 3 Zn 2.96-2.99
Al (0.0000, 0.0872, 0.7500) [4 per cell]  1 Zn 2.54, 2 Al 2.62
Al (0.2411, 0.4192, 0.5017) [8 per cell]  1 Zn 2.54, 2 Al 2.62
Zn (0.0000, 0.4168, 0.7500) [4 per cell]  3 Al 2.54

---

[8]
VASP calculation (GGA-PBE) on a geometry-optimized Li2Al8Zn structure.

uncorrected energy: -0.11390 Ha/atom
N(E_F): 4.8 states/eV per cell

Lattice parameters (Å, degrees): 11.5890 7.3236 4.9051 90.00 105.64 90.00
With the nearest neighbours (Å) after each atom.
Space group C2/m (No. 12)
Symmetry-distinct sites (fractional):
Li (0.1158, 0.0000, 0.0182) [4 per cell]  1 Zn 2.53, 1 Li 2.64, 4 Al 2.65-2.76
Al (0.0588, 0.3045, 0.2887) [8 per cell]  1 Zn 2.63, 5 Al 2.70-2.86, 1 Li 2.76
Al (0.1465, 0.5000, 0.8458) [4 per cell]  1 Li 2.65, 4 Al 2.70-2.80
Al (0.2338, 0.0000, 0.5771) [4 per cell]  1 Zn 2.63, 2 Li 2.71-2.85, 4 Al 2.72-2.80
Zn (0.0000, 0.0000, 0.5000) [2 per cell]  2 Li 2.53, 6 Al 2.63

---

[9]
VASP calculation (GGA-PBE) on a geometry-optimized Li3AlZn4 structure.

energy above the most stable polymorph in this dataset: 0.000 eV per atom
N(E_F): 4.8 states/eV per cell

Lattice parameters (Å, degrees): 8.8984 5.8430 4.5613 90.00 90.00 90.00
With the nearest neighbours (Å) after each atom.
Space group Pmma (No. 51)
Symmetry-distinct sites (fractional):
Li (0.0000, 0.0000, 0.0000) [2 per cell]  8 Zn 2.68-2.69, 2 Li 2.88, 2 Al 2.92
Li (0.2500, 0.0000, 0.4022) [2 per cell]  8 Zn 2.64-2.71, 4 Li 2.88-2.92
Li (0.2500, 0.5000, 0.3926) [2 per cell]  8 Zn 2.73-2.74, 2 Al 2.86, 2 Li 2.92
Al (0.0000, 0.5000, 0.0000) [2 per cell]  8 Zn 2.73-2.74, 4 Li 2.86-2.92
Zn (0.0000, 0.2432, 0.5000) [4 per cell]  6 Li 2.68-2.73, 2 Al 2.73, 3 Zn 2.84-2.86
Zn (0.2500, 0.2403, 0.8928) [4 per cell]  6 Li 2.64-2.74, 2 Al 2.74, 3 Zn 2.81-2.86

---

[10]
VASP calculation (GGA-PBE) on a geometry-optimized LiAlZn2 structure.

uncorrected energy: -0.07760 Ha/atom
N(E_F): 0.9 states/eV per cell

Lattice parameters (Å, degrees): 2.7383 4.4302 5.1548 90.00 98.73 90.00
With the nearest neighbours (Å) after each atom.
Space group P2/m (No. 10)
Symmetry-distinct sites (fractional):
Li (0.0000, 0.0000, 0.0000) [1 per cell]  4 Zn 2.71, 2 Al 2.73, 2 Li 2.74
Al (0.5000, 0.0000, 0.5000) [1 per cell]  4 Zn 2.69, 2 Li 2.73, 2 Al 2.74
Zn (0.2743, 0.5000, 0.7549) [2 per cell]  4 Zn 2.64-2.82, 2 Al 2.69, 2 Li 2.71

---

[11]
VASP calculation (GGA-PBE) on a geometry-optimized Li5Al3Zn12 structure.

uncorrected energy: -0.05642 Ha/atom
N(E_F): 60.1 states/eV per cell

Lattice parameters (Å, degrees): 15.4458 15.4458 15.4458 90.00 90.00 90.00
With the nearest neighbours (Å) after each atom.
Space group Ia-3d (No. 230)
Symmetry-distinct sites (fractional):
Li (0.0000, 0.0000, 0.0000) [16 per cell]  6 Zn 2.59
Li (0.0000, 0.2500, 0.3750) [24 per cell]  4 Zn 2.82
Al (0.0000, 0.2500, 0.1250) [24 per cell]  8 Zn 2.68-2.71
Zn (0.0053, 0.0783, 0.1485) [96 per cell]  3 Zn 2.55-2.71, 2 Li 2.59-2.82, 2 Al 2.68-2.71

---

[12]
VASP calculation (GGA-PBE) on a geometry-optimized Li2AlZn structure.

uncorrected energy: -0.08405 Ha/atom
N(E_F): 4.5 states/eV per cell

Lattice parameters (Å, degrees): 2.8357 2.8357 27.5098 90.00 90.00 120.00
With the nearest neighbours (Å) after each atom.
Space group R-3m (No. 166, hexagonal axes)
Symmetry-distinct sites (fractional):
Li (0.0000, 0.0000, 0.2494) [6 per cell]  3 Al 2.80, 3 Zn 2.83, 6 Li 2.84
Al (0.0000, 0.0000, 0.5000) [3 per cell]  6 Li 2.80, 6 Al 2.84
Zn (0.0000, 0.0000, 0.0000) [3 per cell]  6 Li 2.83, 6 Zn 2.84

---

[13]
VASP calculation (GGA-PBE) on a geometry-optimized Li8AlZn2 structure.

energy above the most stable polymorph in this dataset: 0.036 eV per atom
N(E_F): 5.8 states/eV per cell

Lattice parameters (Å, degrees): 7.4940 12.1988 4.7182 90.00 112.47 90.00
With the nearest neighbours (Å) after each atom.
Space group C2/m (No. 12)
Symmetry-distinct sites (fractional):
Li (0.0000, 0.2237, 0.0000) [4 per cell]  2 Zn 2.61, 1 Al 2.73
Li (0.1117, 0.5000, 0.8195) [4 per cell]  2 Zn 2.66, 1 Al 2.70, 4 Li 2.81-2.88
Li (0.1949, 0.1141, 0.6115) [8 per cell]  2 Zn 2.67-2.81, 3 Li 2.70-2.88
Al (0.0000, 0.0000, 0.0000) [2 per cell]  4 Li 2.70-2.73
Zn (0.0000, 0.3159, 0.5000) [4 per cell]  8 Li 2.61-2.81

---

[14]
VASP calculation (GGA-PBE) on a geometry-optimized Li2AlZn structure.

uncorrected energy: -0.08614 Ha/atom
N(E_F): 1.5 states/eV per cell

Lattice parameters (Å, degrees): 2.7468 4.3394 5.3581 90.00 99.33 90.00
With the nearest neighbours (Å) after each atom.
Space group P2/m (No. 10)
Symmetry-distinct sites (fractional):
Li (0.0314, 0.0000, 0.2503) [2 per cell]  4 Li 2.66-2.75, 2 Zn 2.76, 4 Al 2.83-2.95
Al (0.5000, 0.5000, 0.0000) [1 per cell]  2 Zn 2.68, 2 Al 2.75, 8 Li 2.83-2.95
Zn (0.5000, 0.5000, 0.5000) [1 per cell]  2 Al 2.68, 2 Zn 2.75, 4 Li 2.76

---

[15]
VASP calculation (GGA-PBE) on a geometry-optimized LiZrAlZn structure.

uncorrected energy: -0.14913 Ha/atom
N(E_F): 5.5 states/eV per cell

Lattice parameters (Å, degrees): 6.5333 6.5333 6.5333 90.00 90.00 90.00
With the nearest neighbours (Å) after each atom.
Space group F-43m (No. 216)
Symmetry-distinct sites (fractional):
Li (0.0000, 0.0000, 0.0000) [4 per cell]  4 Al 2.83, 4 Zn 2.83
Zr (0.0000, 0.0000, 0.5000) [4 per cell]  4 Al 2.83, 4 Zn 2.83
Al (0.2500, 0.2500, 0.7500) [4 per cell]  4 Zr 2.83, 4 Li 2.83
Zn (0.2500, 0.2500, 0.2500) [4 per cell]  4 Zr 2.83, 4 Li 2.83

---

[16]
VASP calculation (GGA-PBE) on a geometry-optimized LiZrAl structure.

energy above the most stable polymorph in this dataset: 0.817 eV per atom
N(E_F): 2.1 states/eV per cell

Lattice parameters (Å, degrees): 6.5141 6.5141 6.5141 90.00 90.00 90.00
With the nearest neighbours (Å) after each atom.
Space group F-43m (No. 216)
Symmetry-distinct sites (fractional):
Li (0.0000, 0.0000, 0.0000) [4 per cell]  4 Zr 2.82
Zr (0.2500, 0.2500, 0.7500) [4 per cell]  4 Li 2.82, 4 Al 2.82
Al (0.0000, 0.0000, 0.5000) [4 per cell]  4 Zr 2.82

---

[17]
VASP calculation (GGA-PBE) on a geometry-optimized LiZrAl structure.

energy above the most stable polymorph in this dataset: 0.005 eV per atom
N(E_F): 3.6 states/eV per cell

Lattice parameters (Å, degrees): 3.0454 3.0533 11.8535 90.00 90.05 90.00
With the nearest neighbours (Å) after each atom.
Space group P2_1/m (No. 11)
Symmetry-distinct sites (fractional):
Li (0.2501, 0.2500, 0.0722) [2 per cell]  8 Li 2.75-3.05, 4 Al 2.75-2.76
Zr (0.2504, 0.2500, 0.3974) [2 per cell]  4 Al 3.04, 8 Zr 3.05-3.25
Al (0.2499, 0.2500, 0.7831) [2 per cell]  4 Li 2.75-2.76, 4 Zr 3.04, 4 Al 3.05

---

[18]
VASP calculation (GGA-PBE) on a geometry-optimized LiZrAl structure.

energy above the most stable polymorph in this dataset: 1.248 eV per atom
N(E_F): 6.9 states/eV per cell

Lattice parameters (Å, degrees): 3.9086 3.9086 10.9500 90.00 90.00 120.00
With the nearest neighbours (Å) after each atom.
Space group P6_3/mmc (No. 194)
Symmetry-distinct sites (fractional):
Li (0.3333, 0.6667, 0.2500) [2 per cell]  3 Al 2.26
Zr (0.0000, 0.0000, 0.0000) [2 per cell]  2 Al 2.74
Al (0.0000, 0.0000, 0.2500) [2 per cell]  3 Li 2.26

---

[19]
VASP calculation (GGA-PBE) on a geometry-optimized LiZrAl structure.

energy above the most stable polymorph in this dataset: 0.048 eV per atom
N(E_F): 8.5 states/eV per cell

Lattice parameters (Å, degrees): 3.8173 14.1103 4.3289 90.00 90.00 90.00
With the nearest neighbours (Å) after each atom.
Space group Cmmm (No. 65)
Symmetry-distinct sites (fractional):
Li (0.0000, 0.0000, 0.0000) [2 per cell]  4 Li 2.89, 4 Al 3.13, 4 Zr 3.21
Li (0.0000, 0.5000, 0.5000) [2 per cell]  4 Li 2.89, 4 Zr 3.04
Zr (0.0000, 0.1681, 0.5000) [4 per cell]  6 Al 2.89-3.08, 2 Zr 3.00, 4 Li 3.04-3.21
Al (0.0000, 0.3238, 0.0000) [4 per cell]  2 Al 2.83, 6 Zr 2.89-3.08, 2 Li 3.13

---

[20]
VASP calculation (GGA-PBE) on a geometry-optimized LiZrAl structure.

energy above the most stable polymorph in this dataset: 0.218 eV per atom
N(E_F): 1.6 states/eV per cell

Lattice parameters (Å, degrees): 2.9702 2.9702 7.6229 90.00 90.00 120.00
With the nearest neighbours (Å) after each atom.
Space group P3m1 (No. 156)
Symmetry-distinct sites (fractional):
Li (0.0000, 0.0000, 0.0000) [1 per cell]  3 Al 2.90, 6 Li 2.97
Zr (0.6667, 0.3333, 0.3636) [1 per cell]  6 Zr 2.97, 3 Al 3.04, 3 Li 3.26
Al (0.3333, 0.6667, 0.6935) [1 per cell]  3 Li 2.90, 6 Al 2.97, 3 Zr 3.04